The following is a GGA-PBE calculation of a relaxed FePd6Pt crystal, from Alexandria.

a = 5.267 Å, b = 5.267 Å, c = 7.134 Å
α = 68.34°, β = 68.34°, γ = 60.00°
Site moments in Bohr magnetons follow the coordinates.
Fractional positions:
Fe 0.000 0.000 0.000  3.22
Pd 0.563 0.070 0.296  0.21
Pd 0.930 0.437 0.704  0.21
Pd 0.437 0.930 0.704  0.21
Pd 0.070 0.563 0.296  0.21
Pd 0.070 0.070 0.296  0.21
Pt 0.500 0.500 0.500  0.34
Pd 0.930 0.930 0.704  0.21

Values from the calculation:
Calculated volume: 155.1 Å³/cell
ΔH_f (0 K): 507 meV/atom
Excess energy over the best structure of this formula in the dataset: 560 meV/atom
M_tot: 4.8 Bohr magnetons per cell